No. 1
The following is a DFT calculation (GGA-PBE) of crystalline TmMnCuRu at its relaxed geometry.

Values from the calculation:
ΔH_f (0 K) = -0.04 eV/atom
calculated total energy = -6.791 eV per atom
space group = F-43m, No. 216
density of states at the Fermi level = 2.09 states/eV per cell

Structure (POSCAR):
```
TmMnCuRu
1.0
4.5378 0.0000 0.0000
2.2689 3.9298 0.0000
2.2689 1.3099 3.7051
Cu Ru Tm Mn
1 1 1 1
Direct
0.2500 0.2500 0.2500
0.7500 0.7500 0.7500
0.5000 0.5000 0.5000
0.0000 0.0000 0.0000
```

---

No. 2
The following is a DFT calculation (GGA-PBE) of crystalline YAgMo at its relaxed geometry.

Values from the calculation:
ΔH_f (0 K) = 0.87 eV/atom
calculated total energy = -5.846 eV per atom
space group = F-43m, No. 216
density of states at the Fermi level = 3.81 states/eV per cell

Structure (POSCAR):
```
YAgMo
1.0
4.7292 0.0000 0.0000
2.3646 4.0956 0.0000
2.3646 1.3652 3.8614
Mo Y Ag
1 1 1
Direct
0.0000 0.0000 0.0000
0.5000 0.5000 0.5000
0.7500 0.7500 0.7500
```

---

No. 3
The following is a DFT calculation (GGA-PBE) of crystalline Nb2PWAu at its relaxed geometry.

Values from the calculation:
ΔH_f (0 K) = 1.55 eV/atom
calculated total energy = -6.807 eV per atom
space group = P4/mmm, No. 123
density of states at the Fermi level = 4.27 states/eV per cell

Structure (POSCAR):
```
Nb2PWAu
1.0
-4.5123 1.6926 0.0986
-0.4806 -0.9949 -4.9165
-1.6319 -4.4119 1.0523
Nb W P Au
2 1 1 1
Direct
0.5000 0.0000 0.0000
0.0000 0.0000 0.5000
0.0000 0.0000 0.0000
0.5000 0.5000 0.5000
0.0000 0.5000 0.0000
```

---

No. 4
The following is a DFT calculation (GGA-PBE) of crystalline CdPt3Rh at its relaxed geometry.

Values from the calculation:
ΔH_f (0 K) = 1.08 eV/atom
calculated total energy = -4.201 eV per atom
space group = Pm-3m, No. 221
density of states at the Fermi level = 7.46 states/eV per cell

Structure (POSCAR):
```
CdPt3Rh
1.0
4.8368 0.0000 0.0000
0.0000 4.8368 0.0000
0.0000 0.0000 4.8368
Pt Cd Rh
3 1 1
Direct
0.0000 0.5000 0.0000
0.0000 0.0000 0.5000
0.5000 0.0000 0.0000
0.5000 0.5000 0.5000
0.0000 0.0000 0.0000
```

---

No. 5
The following is a DFT calculation (GGA-PBE) of crystalline Ba6Pb7 at its relaxed geometry.

Values from the calculation:
ΔH_f (0 K) = -0.36 eV/atom
calculated total energy = -3.249 eV per atom
space group = R-3m, No. 166
density of states at the Fermi level = 15.34 states/eV per cell

Structure (POSCAR):
```
Ba6Pb7
1.0
-8.4739 4.3595 -8.7205
-6.0739 -1.6011 -11.2873
-11.0505 -1.6588 -6.4803
Ba Pb
6 7
Direct
0.0563 0.0563 0.0563
0.3367 0.3367 0.3367
0.8460 0.8460 0.8460
0.9437 0.9437 0.9437
0.6633 0.6633 0.6633
0.1540 0.1540 0.1540
0.5936 0.0868 0.5936
0.5000 0.5000 0.5000
0.9132 0.4064 0.4064
0.4064 0.9132 0.4064
0.4064 0.4064 0.9132
0.5936 0.5936 0.0868
0.0868 0.5936 0.5936
```

---

No. 6
The following is a DFT calculation (GGA-PBE) of crystalline LiHo2Zn2Pd5 at its relaxed geometry.

Values from the calculation:
ΔH_f (0 K) = -0.65 eV/atom
calculated total energy = -4.606 eV per atom
space group = P4/mbm, No. 127
density of states at the Fermi level = 9.16 states/eV per cell

Structure (POSCAR):
```
LiHo2Zn2Pd5
1.0
3.7508 0.0000 0.0000
0.0000 9.6509 0.0000
0.0000 0.0000 9.6509
Pd Zn Ho Li
10 4 4 2
Direct
0.5000 0.5000 0.0000
0.5000 0.7988 0.9310
0.5000 0.7012 0.4310
0.5000 0.5690 0.7012
0.5000 0.2988 0.5690
0.5000 0.0000 0.5000
0.5000 0.0690 0.7988
0.5000 0.2012 0.0690
0.5000 0.9310 0.2012
0.5000 0.4310 0.2988
0.0000 0.8778 0.3778
0.0000 0.6222 0.8778
0.0000 0.1222 0.6222
0.0000 0.3778 0.1222
0.0000 0.8241 0.6759
0.0000 0.3241 0.8241
0.0000 0.1759 0.3241
0.0000 0.6759 0.1759
0.0000 0.5000 0.5000
0.0000 0.0000 0.0000
```